1.
# PuIn2I8, optimized geometry, DFT GGA-PBE
data_PuIn2I8
_space_group_name_H-M_alt 'C 1 2/m 1'
_space_group_IT_number 12
_space_group_name_Hall '-C 2y'
_cell_length_a 14.3278
_cell_length_b 11.0129
_cell_length_c 7.4673
_cell_angle_alpha 90.00
_cell_angle_beta 99.16
_cell_angle_gamma 90.00
loop_
_atom_site_label
_atom_site_type_symbol
_atom_site_fract_x
_atom_site_fract_y
_atom_site_fract_z
Pu1 Pu 0.0000 0.0000 0.0000
In1 In 0.2037 0.0000 0.6586
I1 I 0.0956 0.1949 0.7706
I2 I 0.1109 0.5000 0.1808
I3 I 0.1943 0.0000 0.2738
# formation energy from raw total energies	-0.65	eV per atom


2.
# Pu2In2I7, optimized geometry, DFT GGA-PBE
data_Pu2In2I7
_space_group_name_H-M_alt 'C 1 2/m 1'
_space_group_IT_number 12
_space_group_name_Hall '-C 2y'
_cell_length_a 13.5566
_cell_length_b 9.4556
_cell_length_c 7.8870
_cell_angle_alpha 90.00
_cell_angle_beta 92.36
_cell_angle_gamma 90.00
loop_
_atom_site_label
_atom_site_type_symbol
_atom_site_fract_x
_atom_site_fract_y
_atom_site_fract_z
Pu1 Pu 0.2355 0.0000 0.0402
In1 In 0.0000 0.2398 0.5000
I1 I 0.0000 0.0000 0.0000
I2 I 0.0618 0.5000 0.7512
I3 I 0.2121 0.2846 0.2495
# formation energy from raw total energies	-0.82	eV per atom


3.
# PuIn2I4, optimized geometry, DFT GGA-PBE
data_PuIn2I4
_space_group_name_H-M_alt 'P 1 2/m 1'
_space_group_IT_number 10
_space_group_name_Hall '-P 2y'
_cell_length_a 6.8964
_cell_length_b 4.6803
_cell_length_c 9.9754
_cell_angle_alpha 90.00
_cell_angle_beta 108.95
_cell_angle_gamma 90.00
loop_
_atom_site_label
_atom_site_type_symbol
_atom_site_fract_x
_atom_site_fract_y
_atom_site_fract_z
Pu1 Pu 0.0000 0.0000 0.0000
In1 In 0.2410 0.5000 0.4637
I1 I 0.1747 0.5000 0.8559
I2 I 0.3887 0.0000 0.2769
# formation energy from raw total energies	-0.67	eV per atom


4.
# PuInI6, optimized geometry, DFT GGA-PBE
data_PuInI6
_space_group_name_H-M_alt 'R -3'
_space_group_IT_number 148
_space_group_name_Hall '-R 3'
_cell_length_a 7.5512
_cell_length_b 7.5512
_cell_length_c 20.7445
_cell_angle_alpha 90.00
_cell_angle_beta 90.00
_cell_angle_gamma 120.00
loop_
_atom_site_label
_atom_site_type_symbol
_atom_site_fract_x
_atom_site_fract_y
_atom_site_fract_z
Pu1 Pu 0.0000 0.0000 0.0000
In1 In 0.0000 0.0000 0.5000
I1 I 0.0006 0.3268 0.5822
# formation energy from raw total energies	-0.69	eV per atom


5.
# Rb3PuIn3I8, optimized geometry, DFT GGA-PBE
data_Rb3PuIn3I8
_space_group_name_H-M_alt 'R -3 m'
_space_group_IT_number 166
_space_group_name_Hall '-R 3 2"'
_cell_length_a 10.0847
_cell_length_b 10.0847
_cell_length_c 25.5814
_cell_angle_alpha 90.00
_cell_angle_beta 90.00
_cell_angle_gamma 120.00
loop_
_atom_site_label
_atom_site_type_symbol
_atom_site_fract_x
_atom_site_fract_y
_atom_site_fract_z
Rb1 Rb 0.0000 0.5000 0.0000
Pu1 Pu 0.0000 0.0000 0.5000
In1 In 0.0000 0.5000 0.5000
I1 I 0.0000 0.0000 0.2454
I2 I 0.0274 0.5137 0.2387
# formation energy from raw total energies	-0.98	eV per atom


6.
# RbPu2InI8, optimized geometry, DFT GGA-PBE
data_RbPu2InI8
_space_group_name_H-M_alt 'P -1'
_space_group_IT_number 2
_space_group_name_Hall '-P 1'
_cell_length_a 7.5816
_cell_length_b 8.2771
_cell_length_c 9.4257
_cell_angle_alpha 89.95
_cell_angle_beta 89.94
_cell_angle_gamma 88.11
loop_
_atom_site_label
_atom_site_type_symbol
_atom_site_fract_x
_atom_site_fract_y
_atom_site_fract_z
Rb1 Rb 0.0000 0.0000 0.0000
Pu1 Pu 0.5000 0.5001 0.2534
In1 In 0.0000 0.0000 0.5000
I1 I 0.2634 0.3690 0.5003
I2 I 0.2688 0.3775 0.0004
I3 I 0.2832 0.8174 0.7362
I4 I 0.2834 0.8176 0.2636
# formation energy from raw total energies	-1.01	eV per atom


7.
# RbPuIn2I6, optimized geometry, DFT GGA-PBE
data_RbPuIn2I6
_space_group_name_H-M_alt 'R 3'
_space_group_IT_number 146
_space_group_name_Hall 'R 3'
_cell_length_a 8.6527
_cell_length_b 8.6527
_cell_length_c 23.1298
_cell_angle_alpha 90.00
_cell_angle_beta 90.00
_cell_angle_gamma 120.00
loop_
_atom_site_label
_atom_site_type_symbol
_atom_site_fract_x
_atom_site_fract_y
_atom_site_fract_z
Rb1 Rb 0.0000 0.0000 0.0000
Pu1 Pu 0.0000 0.0000 0.5136
In1 In 0.0000 0.0000 0.1936
In2 In 0.0000 0.0000 0.7066
I1 I 0.0475 0.3538 0.1067
I2 I 0.0675 0.6938 0.2663
# formation energy from raw total energies	-0.91	eV per atom


8.
# PuInTeI, optimized geometry, DFT GGA-PBE
data_PuInTeI
_space_group_name_H-M_alt 'F -4 3 m'
_space_group_IT_number 216
_space_group_name_Hall 'F -4 2 3'
_cell_length_a 7.9334
_cell_length_b 7.9334
_cell_length_c 7.9334
_cell_angle_alpha 90.00
_cell_angle_beta 90.00
_cell_angle_gamma 90.00
loop_
_atom_site_label
_atom_site_type_symbol
_atom_site_fract_x
_atom_site_fract_y
_atom_site_fract_z
Pu1 Pu 0.0000 0.0000 0.0000
In1 In 0.0000 0.0000 0.5000
Te1 Te 0.2500 0.2500 0.2500
I1 I 0.2500 0.2500 0.7500
# formation energy from raw total energies	-0.53	eV per atom


9.
# PuTl3In3I8, optimized geometry, DFT GGA-PBE
data_PuTl3In3I8
_space_group_name_H-M_alt 'R -3 m'
_space_group_IT_number 166
_space_group_name_Hall '-R 3 2"'
_cell_length_a 9.9133
_cell_length_b 9.9133
_cell_length_c 24.3310
_cell_angle_alpha 90.00
_cell_angle_beta 90.00
_cell_angle_gamma 120.00
loop_
_atom_site_label
_atom_site_type_symbol
_atom_site_fract_x
_atom_site_fract_y
_atom_site_fract_z
Pu1 Pu 0.0000 0.0000 0.0000
Tl1 Tl 0.0000 0.5000 0.5000
In1 In 0.0000 0.5000 0.0000
I1 I 0.0000 0.0000 0.2512
I2 I 0.0245 0.5123 0.7426
# formation energy from raw total energies	-0.65	eV per atom


10.
# Rb4InI6, optimized geometry, DFT GGA-PBE
data_Rb4InI6
_space_group_name_H-M_alt 'P 4/m n c'
_space_group_IT_number 128
_space_group_name_Hall '-P 4 2n'
_cell_length_a 10.1158
_cell_length_b 10.1158
_cell_length_c 10.0620
_cell_angle_alpha 90.00
_cell_angle_beta 90.00
_cell_angle_gamma 90.00
loop_
_atom_site_label
_atom_site_type_symbol
_atom_site_fract_x
_atom_site_fract_y
_atom_site_fract_z
Rb1 Rb 0.1665 0.3335 0.2500
In1 In 0.0000 0.0000 0.0000
I1 I 0.0000 0.0000 0.3067
I2 I 0.1038 0.6899 0.0000
# formation energy from raw total energies	-1.19	eV per atom


11.
# Rb2In3I8, optimized geometry, DFT GGA-PBE
data_Rb2In3I8
_space_group_name_H-M_alt 'C 1 2/m 1'
_space_group_IT_number 12
_space_group_name_Hall '-C 2y'
_cell_length_a 17.4881
_cell_length_b 9.1918
_cell_length_c 8.2035
_cell_angle_alpha 90.00
_cell_angle_beta 107.21
_cell_angle_gamma 90.00
loop_
_atom_site_label
_atom_site_type_symbol
_atom_site_fract_x
_atom_site_fract_y
_atom_site_fract_z
Rb1 Rb 0.2374 0.0000 0.1943
In1 In 0.0000 0.2325 0.5000
In2 In 0.0000 0.5000 0.0000
I1 I 0.1020 0.2748 0.9159
I2 I 0.1050 0.5000 0.3653
I3 I 0.1409 0.0000 0.5310
# formation energy from raw total energies	-0.74	eV per atom


12.
# Rb4InI5, optimized geometry, DFT GGA-PBE
data_Rb4InI5
_space_group_name_H-M_alt 'I 4'
_space_group_IT_number 79
_space_group_name_Hall 'I 4'
_cell_length_a 11.6911
_cell_length_b 11.6911
_cell_length_c 7.4078
_cell_angle_alpha 90.00
_cell_angle_beta 90.00
_cell_angle_gamma 90.00
loop_
_atom_site_label
_atom_site_type_symbol
_atom_site_fract_x
_atom_site_fract_y
_atom_site_fract_z
Rb1 Rb 0.0985 0.7010 0.0000
In1 In 0.0000 0.0000 0.5078
I1 I 0.0000 0.0000 0.9672
I2 I 0.0963 0.7081 0.4999
# formation energy from raw total energies	-1.29	eV per atom


13.
# Rb2InI4, optimized geometry, DFT GGA-PBE
data_Rb2InI4
_space_group_name_H-M_alt 'I 4/m m m'
_space_group_IT_number 139
_space_group_name_Hall '-I 4 2'
_cell_length_a 6.0612
_cell_length_b 6.0612
_cell_length_c 18.9084
_cell_angle_alpha 90.00
_cell_angle_beta 90.00
_cell_angle_gamma 90.00
loop_
_atom_site_label
_atom_site_type_symbol
_atom_site_fract_x
_atom_site_fract_y
_atom_site_fract_z
Rb1 Rb 0.0000 0.0000 0.1398
In1 In 0.0000 0.0000 0.5000
I1 I 0.0000 0.0000 0.3330
I2 I 0.0000 0.5000 0.0000
# formation energy from raw total energies	-1.03	eV per atom


14.
# RbInI4, optimized geometry, DFT GGA-PBE
data_RbInI4
_space_group_name_H-M_alt 'P 1 21/m 1'
_space_group_IT_number 11
_space_group_name_Hall '-P 2yb'
_cell_length_a 7.5450
_cell_length_b 11.9179
_cell_length_c 7.6183
_cell_angle_alpha 90.00
_cell_angle_beta 100.48
_cell_angle_gamma 90.00
loop_
_atom_site_label
_atom_site_type_symbol
_atom_site_fract_x
_atom_site_fract_y
_atom_site_fract_z
Rb1 Rb 0.1114 0.2500 0.1922
In1 In 0.4016 0.7500 0.3055
I1 I 0.2332 0.2500 0.7033
I2 I 0.2346 0.5671 0.1220
I3 I 0.3683 0.7500 0.6597
# formation energy from raw total energies	-0.87	eV per atom


15.
# RbIn2I2, optimized geometry, DFT GGA-PBE
data_RbIn2I2
_space_group_name_H-M_alt 'I 4/m m m'
_space_group_IT_number 139
_space_group_name_Hall '-I 4 2'
_cell_length_a 4.4544
_cell_length_b 4.4544
_cell_length_c 20.1892
_cell_angle_alpha 90.00
_cell_angle_beta 90.00
_cell_angle_gamma 90.00
loop_
_atom_site_label
_atom_site_type_symbol
_atom_site_fract_x
_atom_site_fract_y
_atom_site_fract_z
Rb1 Rb 0.0000 0.0000 0.0000
In1 In 0.0000 0.5000 0.2500
I1 I 0.0000 0.0000 0.3938
# formation energy from raw total energies	-0.67	eV per atom


16.
# RbIn2I4, optimized geometry, DFT GGA-PBE
data_RbIn2I4
_space_group_name_H-M_alt 'P 1'
_space_group_IT_number 1
_space_group_name_Hall 'P 1'
_cell_length_a 9.3180
_cell_length_b 9.3428
_cell_length_c 9.9830
_cell_angle_alpha 111.84
_cell_angle_beta 109.10
_cell_angle_gamma 104.53
loop_
_atom_site_label
_atom_site_type_symbol
_atom_site_fract_x
_atom_site_fract_y
_atom_site_fract_z
Rb1 Rb 0.0000 0.0000 0.0000
Rb2 Rb 0.2473 0.5623 0.8087
In1 In 0.1236 0.7812 0.4042
In2 In 0.6237 0.2813 0.4040
In3 In 0.6236 0.2812 0.9042
In4 In 0.6239 0.7818 0.4050
I1 I 0.3257 0.8663 0.1909
I2 I 0.3666 0.2408 0.6082
I3 I 0.3996 0.3132 0.0627
I4 I 0.4976 0.8996 0.7466
I5 I 0.7497 0.6627 0.0618
I6 I 0.8476 0.2488 0.7456
I7 I 0.8806 0.3216 0.2003
I8 I 0.9215 0.6959 0.6178
# formation energy from raw total energies	-0.72	eV per atom


17.
# Rb3In5I12, optimized geometry, DFT GGA-PBE
data_Rb3In5I12
_space_group_name_H-M_alt 'I a -3 d'
_space_group_IT_number 230
_space_group_name_Hall '-I 4bd 2c 3'
_cell_length_a 20.2179
_cell_length_b 20.2179
_cell_length_c 20.2179
_cell_angle_alpha 90.00
_cell_angle_beta 90.00
_cell_angle_gamma 90.00
loop_
_atom_site_label
_atom_site_type_symbol
_atom_site_fract_x
_atom_site_fract_y
_atom_site_fract_z
Rb1 Rb 0.0000 0.2500 0.1250
In1 In 0.0000 0.0000 0.0000
In2 In 0.0000 0.2500 0.3750
I1 I 0.0334 0.0545 0.6521
# formation energy from raw total energies	-0.75	eV per atom


18.
# Rb3InI6, optimized geometry, DFT GGA-PBE
data_Rb3InI6
_space_group_name_H-M_alt 'C m c 21'
_space_group_IT_number 36
_space_group_name_Hall 'C 2c -2'
_cell_length_a 14.8016
_cell_length_b 17.8117
_cell_length_c 8.8237
_cell_angle_alpha 90.00
_cell_angle_beta 90.00
_cell_angle_gamma 90.00
loop_
_atom_site_label
_atom_site_type_symbol
_atom_site_fract_x
_atom_site_fract_y
_atom_site_fract_z
Rb1 Rb 0.0000 0.0642 0.0000
Rb2 Rb 0.2004 0.4039 0.1083
In1 In 0.0000 0.3083 0.7069
I1 I 0.0000 0.3053 0.3956
I2 I 0.0000 0.4544 0.8197
I3 I 0.1475 0.2361 0.8350
I4 I 0.1700 0.0430 0.2910
# formation energy from raw total energies	-1.08	eV per atom